Computed, not measured: an optimized crystal structure of YMgNiSb at the GGA-PBE level of DFT.

```
YMgNiSb
1.0
0.000 3.411 3.411
3.411 0.000 3.411
3.411 3.411 0.000
Y Mg Ni Sb
1 1 1 1
Direct
0.000 0.000 0.000
0.250 0.250 0.250
0.750 0.750 0.750
0.500 0.500 0.500
```

* VASP energy: -4.619 eV/atom

***

Computed, not measured: an optimized crystal structure of MgZnNiSb at the GGA-PBE level of DFT.

```
MgZnNiSb
1.0
0.000 3.265 3.265
3.265 0.000 3.265
3.265 3.265 0.000
Mg Zn Ni Sb
1 1 1 1
Direct
0.000 0.000 0.000
0.250 0.250 0.250
0.500 0.500 0.500
0.750 0.750 0.750
```

* distance to the lowest polymorph of the same formula: 0.4 kJ per mole of atoms

***

Computed, not measured: an optimized crystal structure of MgZnNiSb at the GGA-PBE level of DFT.

```
MgZnNiSb
1.0
0.000 3.269 3.269
3.269 0.000 3.269
3.269 3.269 0.000
Mg Zn Ni Sb
1 1 1 1
Direct
0.000 0.000 0.000
0.250 0.250 0.250
0.750 0.750 0.750
0.500 0.500 0.500
```

* distance to the lowest polymorph of the same formula: 0.0 kJ per mole of atoms

***

Computed, not measured: an optimized crystal structure of MgScSiNi at the GGA-PBE level of DFT.

```
MgScSiNi
1.0
0.000 3.168 3.168
3.168 0.000 3.168
3.168 3.168 0.000
Mg Sc Si Ni
1 1 1 1
Direct
0.000 0.000 0.000
0.500 0.500 0.500
0.250 0.250 0.250
0.750 0.750 0.750
```

* distance to the lowest polymorph of the same formula: 0.0 kJ per mole of atoms

***

Computed, not measured: an optimized crystal structure of MgScSiNi at the GGA-PBE level of DFT.

```
MgScSiNi
1.0
0.000 3.106 3.106
3.106 0.000 3.106
3.106 3.106 0.000
Mg Sc Si Ni
1 1 1 1
Direct
0.000 0.000 0.000
0.750 0.750 0.750
0.250 0.250 0.250
0.500 0.500 0.500
```

* distance to the lowest polymorph of the same formula: 11.7 kJ per mole of atoms

***

Computed, not measured: an optimized crystal structure of MgScSiNi at the GGA-PBE level of DFT.

```
MgScSiNi
1.0
0.000 3.118 3.118
3.118 0.000 3.118
3.118 3.118 0.000
Mg Sc Si Ni
1 1 1 1
Direct
0.000 0.000 0.000
0.250 0.250 0.250
0.500 0.500 0.500
0.750 0.750 0.750
```

* distance to the lowest polymorph of the same formula: 12.2 kJ per mole of atoms